Compound: Cs2MnBeF6
Source: Alexandria via LeMat-Bulk
Functional: GGA+U
Structure: relaxed

The structure in POSCAR format:
```
Cs2MnBeF6
1.0
5.677 0.000 0.000
0.000 5.678 0.000
2.839 2.839 5.273
Mn F Cs Be
1 6 2 1
direct
0.000 0.000 0.000
0.191 0.191 0.618
0.291 0.291 0.000
0.291 0.709 0.000
0.709 0.709 0.000
0.709 0.291 0.000
0.809 0.809 0.382
0.750 0.250 0.500
0.250 0.750 0.500
0.500 0.500 0.000
```

Values from the calculation:
For the theoretical density, the calculation gives 4.3 g/cm3. Its total energy is -5.1650 eV/atom. Its volume is 170.0 Å³/f.u. The space group is No. 139.